[1]
A relaxed structure of Rb2PmSb2S6. Source: the Alexandria database, functional GGA-PBE.

Structure (extended XYZ):
```
11
Lattice="6.1391 -3.7534 0.0000 6.1391 3.7534 0.0000 -3.9511 0.0000 7.8520" Properties=species:S:1:pos:R:3 pbc="T T T"
Rb 1.7783 0.0000 1.2998
Rb 6.5487 0.0000 6.5522
Pm -1.9755 0.0000 3.9260
Sb 2.3243 0.0000 6.2564
Sb 6.0027 0.0000 1.5956
S 4.5745 1.9407 1.7552
S 0.7420 0.0000 4.4556
S 3.7526 1.9407 6.0968
S 4.5745 -1.9407 1.7552
S 7.5850 0.0000 3.3964
S 3.7526 -1.9407 6.0968
```

* SG: No. 12
* crystal system: monoclinic
* formation energy from raw total energies: -9.397 eV/f.u.



[2]
A relaxed structure of TaReAs2. Source: the Alexandria database, functional GGA-PBE.

Structure (extended XYZ):
```
4
Lattice="1.6723 -2.3474 0.0000 1.6723 2.3474 0.0000 0.0000 0.0000 9.5326" Properties=species:S:1:pos:R:3 pbc="T T T"
Ta 0.0000 0.0000 0.0000
Re 1.6723 0.0000 2.1790
As 0.0000 0.0000 4.1321
As 1.6723 0.0000 7.4839
```

* SG: No. 35
* calculated formation energy: 0.1023 eV/atom
* crystal system: orthorhombic
* distance to the lowest polymorph of the same formula: 0.78 eV/f.u.



[3]
A relaxed structure of Pm6Er2Hg. Source: the Alexandria database, functional GGA-PBE.

Structure (extended XYZ):
```
9
Lattice="8.1413 -5.1430 0.0000 8.1413 5.1430 0.0000 -0.7855 0.0000 3.4982" Properties=species:S:1:pos:R:3 pbc="T T T"
Pm 4.9976 1.6662 1.1254
Pm 8.1413 3.0411 0.0000
Pm 4.9976 -1.6662 1.1254
Pm 10.4995 1.6662 2.3729
Pm 8.1413 -3.0411 0.0000
Pm 10.4995 -1.6662 2.3729
Er 1.9637 0.0000 2.2769
Er 13.5334 0.0000 1.2214
Hg 7.7485 0.0000 1.7491
```

* SG: No. 12
* calculated formation energy: 0.0006 eV/atom
* crystal system: monoclinic



[4]
A relaxed structure of Pm2Nd2HoEr2. Source: the Alexandria database, functional GGA-PBE.

Structure (extended XYZ):
```
7
Lattice="2.8605 1.6515 8.2187 -2.8605 1.6515 8.2187 0.0000 -3.3030 8.2187" Properties=species:S:1:pos:R:3 pbc="T T T"
Pm 0.0000 0.0000 5.2985
Pm 0.0000 0.0000 19.3576
Nd 0.0000 0.0000 8.9074
Nd 0.0000 0.0000 15.7486
Ho 0.0000 0.0000 12.3280
Er 0.0000 0.0000 1.7566
Er 0.0000 0.0000 22.8994
```

* SG: No. 166
* calculated formation energy: 0.1260 eV/atom
* crystal system: trigonal



[5]
A relaxed structure of DyGa4Sb. Source: the Alexandria database, functional GGA-PBE.

Structure (extended XYZ):
```
6
Lattice="0.0000 3.9605 3.9605 3.9605 0.0000 3.9605 3.9605 3.9605 0.0000" Properties=species:S:1:pos:R:3 pbc="T T T"
Dy 0.0000 0.0000 0.0000
Ga 4.9511 2.9698 2.9698
Ga 2.9698 4.9511 2.9698
Ga 2.9698 2.9698 4.9511
Ga 4.9511 4.9511 4.9511
Sb 1.9802 1.9802 1.9802
```

* SG: No. 216
* crystal system: cubic
* formation energy from raw total energies: -1.397 eV/f.u.



[6]
A relaxed structure of CoTc2Pt. Source: the Alexandria database, functional GGA-PBE.

Structure (extended XYZ):
```
4
Lattice="4.6207 0.0000 0.0000 0.0000 2.6958 0.0000 -1.5340 0.0000 4.4638" Properties=species:S:1:pos:R:3 pbc="T T T"
Co 0.0000 0.0000 0.0000
Tc -0.7670 1.3479 2.2319
Tc 1.5434 0.0000 2.2319
Pt 2.3104 1.3479 0.0000
```

* SG: No. 10
* calculated formation energy: 0.0329 eV/atom
* crystal system: monoclinic
* distance to the lowest polymorph of the same formula: 0.33 eV/f.u.



[7]
A relaxed structure of DySc5Sb4. Source: the Alexandria database, functional GGA-PBE.

Structure (extended XYZ):
```
10
Lattice="4.8510 -4.9559 0.0000 4.8510 4.9559 0.0000 0.0000 0.0000 5.6655" Properties=species:S:1:pos:R:3 pbc="T T T"
Dy 0.0000 0.0000 0.0000
Sc 2.4255 2.4779 1.4161
Sc 2.4255 2.4779 4.2494
Sc 2.4255 -2.4779 1.4161
Sc 2.4255 -2.4779 4.2494
Sc 4.8510 0.0000 2.8328
Sb 1.8016 0.0000 2.8328
Sb 4.8510 1.7076 0.0000
Sb 4.8510 -1.7076 0.0000
Sb 7.9005 0.0000 2.8328
```

* SG: No. 65
* crystal system: orthorhombic
* formation energy from raw total energies: -5.404 eV/f.u.



[8]
A relaxed structure of AlPtO3. Source: the Alexandria database, functional GGA-PBE.

Structure (extended XYZ):
```
5
Lattice="3.9398 0.0000 0.0000 0.0000 3.9398 0.0000 0.0000 0.0000 3.9398" Properties=species:S:1:pos:R:3 pbc="T T T"
Al 0.0000 0.0000 0.0000
Pt 1.9699 1.9699 1.9699
O 0.0000 1.9699 1.9699
O 1.9699 0.0000 1.9699
O 1.9699 1.9699 0.0000
```

* SG: No. 221
* crystal system: cubic
* formation energy from raw total energies: -0.789 eV/f.u.



[9]
A relaxed structure of SiHg2As. Source: the Alexandria database, functional GGA-PBE.

Structure (extended XYZ):
```
4
Lattice="1.7757 -2.5579 0.0000 1.7757 2.5579 0.0000 0.0000 0.0000 10.6403" Properties=species:S:1:pos:R:3 pbc="T T T"
Si 0.0000 0.0000 0.0000
Hg 0.0000 0.0000 5.8119
Hg 1.7757 0.0000 2.7509
As 1.7757 0.0000 8.9253
```

* SG: No. 35
* crystal system: orthorhombic
* formation energy from raw total energies: 1.189 eV/f.u.
* distance to the lowest polymorph of the same formula: 0.79 eV/f.u.



[10]
A relaxed structure of K2Cd4Bi3Pb. Source: the Alexandria database, functional GGA-PBE.

Structure (extended XYZ):
```
10
Lattice="5.1929 0.0000 0.0000 0.0000 5.1929 0.0000 0.0000 0.0000 12.4970" Properties=species:S:1:pos:R:3 pbc="T T T"
K 0.0000 2.5965 3.0867
K 2.5965 0.0000 9.4103
Cd 0.0000 0.0000 0.0000
Cd 0.0000 2.5965 7.9185
Cd 2.5965 0.0000 4.5785
Cd 2.5965 2.5965 0.0000
Bi 0.0000 2.5965 10.8619
Bi 2.5965 0.0000 1.6352
Bi 2.5965 2.5965 6.2485
Pb 0.0000 0.0000 6.2485
```

* SG: No. 115
* calculated formation energy: -0.1950 eV/atom
* crystal system: tetragonal



[11]
A relaxed structure of Hf2GeRh. Source: the Alexandria database, functional GGA-PBE.

Structure (extended XYZ):
```
4
Lattice="1.8670 1.0779 6.5679 -1.8670 1.0779 6.5679 0.0000 -2.1558 6.5679" Properties=species:S:1:pos:R:3 pbc="T T T"
Hf 0.0000 0.0000 4.8892
Hf 0.0000 0.0000 14.8146
Ge 0.0000 0.0000 0.0000
Rh 0.0000 0.0000 9.8519
```

* SG: No. 166
* calculated formation energy: -0.4278 eV/atom
* crystal system: trigonal



[12]
A relaxed structure of Ca2HfThP4. Source: the Alexandria database, functional GGA-PBE.

Structure (extended XYZ):
```
8
Lattice="6.9513 0.0000 0.0000 0.0000 4.0247 0.0000 -2.3064 0.0000 6.6731" Properties=species:S:1:pos:R:3 pbc="T T T"
Ca 0.0000 0.0000 0.0000
Ca 3.4756 2.0124 0.0000
Hf -1.1532 2.0124 3.3366
Th 2.3224 0.0000 3.3366
P -0.1006 0.0000 4.8395
P 1.0369 2.0124 1.7775
P 3.6080 2.0124 4.8957
P 4.7455 0.0000 1.8337
```

* SG: No. 10
* calculated formation energy: -1.2893 eV/atom
* crystal system: monoclinic



Summary of magnetic moment in μB per formula unit
0.000; 0.001; 0.000; 0.003; 0.000; 0.838; 1.721; 0.000; 0.000; 0.000; 0.000; 0.000
(order as listed above)